Crystalline Pm6DyHo2Er at its relaxed geometry, computed with GGA-PBE.

a b c (Å): 8.902 8.902 9.596
angles (deg): 93.80 93.80 117.75
Sites, in units of the cell vectors:
Pm1 0.011 0.565 0.187
Pm2 0.118 0.761 0.554
Pm3 0.239 0.882 0.946
Pm4 0.292 0.509 0.382
Pm5 0.435 0.989 0.313
Pm6 0.491 0.708 0.118
Pm7 0.509 0.292 0.882
Pm8 0.565 0.011 0.687
Pm9 0.708 0.491 0.618
Pm10 0.761 0.118 0.054
Pm11 0.882 0.239 0.446
Pm12 0.989 0.435 0.813
Dy1 0.027 0.973 0.250
Dy2 0.973 0.027 0.750
Ho1 0.201 0.300 0.046
Ho2 0.300 0.201 0.546
Ho3 0.700 0.799 0.454
Ho4 0.799 0.700 0.954
Er1 0.411 0.589 0.750
Er2 0.589 0.411 0.250

symmetry: C2/c
formation enthalpy at 0 K: 0.12 eV/atom
E_tot: -4.565 eV per atom

---

Crystalline Pm5Dy2HoEr at its relaxed geometry, computed with GGA-PBE.

a b c (Å): 10.518 10.518 10.659
angles (deg): 90.00 90.00 148.97
Sites, in units of the cell vectors:
Pm1 0.016 0.984 0.500
Pm2 0.280 0.720 0.793
Pm3 0.298 0.702 0.189
Pm4 0.386 0.614 0.504
Pm5 0.482 0.518 0.225
Pm6 0.518 0.482 0.725
Pm7 0.614 0.386 0.004
Pm8 0.702 0.298 0.689
Pm9 0.720 0.280 0.293
Pm10 0.984 0.016 0.000
Dy1 0.112 0.888 0.220
Dy2 0.115 0.885 0.794
Dy3 0.885 0.115 0.294
Dy4 0.888 0.112 0.720
Ho1 0.199 0.801 0.492
Ho2 0.801 0.199 0.992
Er1 0.408 0.592 0.944
Er2 0.592 0.408 0.444

symmetry: Cmc2_1
formation enthalpy at 0 K: 0.14 eV/atom
E_tot: -4.534 eV per atom

---

Crystalline Pm2DyHo5Er at its relaxed geometry, computed with GGA-PBE.

a b c (Å): 9.894 9.894 9.894
angles (deg): 128.60 128.60 75.65
Sites, in units of the cell vectors:
Pm1 0.118 0.618 0.735
Pm2 0.382 0.118 0.500
Pm3 0.618 0.882 0.500
Pm4 0.882 0.382 0.265
Dy1 0.250 0.250 0.000
Dy2 0.750 0.750 0.000
Ho1 0.000 0.000 0.000
Ho2 0.072 0.148 0.500
Ho3 0.148 0.648 0.075
Ho4 0.352 0.428 0.500
Ho5 0.428 0.928 0.075
Ho6 0.500 0.500 0.000
Ho7 0.572 0.072 0.925
Ho8 0.648 0.572 0.500
Ho9 0.852 0.352 0.925
Ho10 0.928 0.852 0.500
Er1 0.250 0.750 0.500
Er2 0.750 0.250 0.500

symmetry: I4/mcm
formation enthalpy at 0 K: 0.28 eV/atom
E_tot: -4.339 eV per atom

---

Crystalline Pm2Dy2Ho4Er at its relaxed geometry, computed with GGA-PBE.

a b c (Å): 9.471 9.471 9.525
angles (deg): 115.21 115.21 21.82
Sites, in units of the cell vectors:
Pm1 0.165 0.165 0.499
Pm2 0.835 0.835 0.501
Dy1 0.353 0.353 0.837
Dy2 0.647 0.647 0.163
Ho1 0.019 0.019 0.834
Ho2 0.315 0.315 0.165
Ho3 0.685 0.685 0.835
Ho4 0.981 0.981 0.166
Er1 0.500 0.500 0.500

symmetry: C2/m
formation enthalpy at 0 K: 0.00 eV/atom
E_tot: -4.622 eV per atom